Material: Ba5NaSr6
Method: DFT, PBE-GGA
State: optimized geometry

```
Ba5NaSr6
1.0
-3.947 0.069 -2.775
7.179 -8.264 -6.218
-4.485 -5.420 10.441
Sr Ba Na
6 5 1
direct
0.254 0.085 0.422
0.746 0.578 0.915
0.746 0.915 0.578
0.740 0.239 0.239
0.254 0.422 0.085
0.260 0.761 0.761
0.500 0.842 0.158
0.000 0.669 0.331
0.500 0.158 0.842
0.500 0.500 0.500
0.000 0.331 0.669
0.000 0.000 0.000
```

Calculated density in Mg/m³: 3.01
Energy of formation from the pure elements in eV/atom: 0.009
Fermi-level density of states in states/eV/atom: 1.158
Total DFT energy (no corrections) in eV/cell: -20.92
Magnetic moment in μB/f.u.: 0.0